# 1
LiBe2Cd (SCAN, PBEsol geometry); symmetry = R-3m (166); formation enthalpy at 0 K = 447 meV per atom; N(E_F) = 0.8 states/eV/f.u.
1.0
2.702 0.000 0.000
1.351 2.340 0.000
1.351 0.780 8.646
Li Be Cd
1 2 1
Direct
0.000 0.000 0.000
0.253 0.253 0.242
0.747 0.747 0.758
0.500 0.500 0.500

***

# 2
LiMn3O4F2 (SCAN, PBEsol geometry); symmetry = P1 (1); E_tot = -11.28 eV/atom; N(E_F) = 1.2 states/eV/f.u.
1.0
-2.625 3.451 -2.350
-2.327 -2.550 3.737
3.727 3.489 1.563
O Mn F Li
4 3 2 1
Direct
0.267 0.179 0.718
0.023 0.483 0.263
0.934 0.488 0.741
0.569 0.788 0.722
0.172 0.342 0.492
0.876 0.718 0.563
0.659 0.267 0.922
0.760 0.835 0.262
0.400 0.175 0.215
0.340 0.725 0.102

***

# 3
SrYS3 (SCAN, PBEsol geometry); symmetry = Pm-3m (221); E_tot = -16.44 eV/atom; N(E_F) = 4.6 states/eV/f.u.
1.0
-2.000 -4.106 -2.446
4.324 -2.685 0.972
-2.038 -1.666 4.463
S Y Sr
3 1 1
Direct
0.000 0.000 0.500
0.000 0.500 0.000
0.500 0.000 0.000
0.500 0.500 0.500
0.000 0.000 0.000

***

# 4
BaCrRh (SCAN, PBEsol geometry); symmetry = F-43m (216); formation enthalpy at 0 K = 1098 meV per atom; N(E_F) = 0.7 states/eV/f.u.; energy above the most stable polymorph in this dataset = 653 meV/atom
1.0
4.764 0.000 0.000
2.382 4.126 0.000
2.382 1.375 3.890
Ba Cr Rh
1 1 1
Direct
0.250 0.250 0.250
0.000 0.000 0.000
0.500 0.500 0.500

***

Q: Among the records above, which one has the highest N(E_F)?
A: SrYS3

***

Q: Which formula does entry 1 have?
A: LiBe2Cd